# 1
This record from Alexandria describes an optimized crystal structure of TbSe2O6. The functional is PBE.

The value obtained for the uncorrected formation energy is -13.239 eV per formula unit. The density of states at the Fermi level comes out at 5.3 states/eV/cell. The calculation puts the total energy at -6.07 eV per atom. For the theoretical density, the calculation gives 4.21 g cm⁻³.

a = 6.7293 Å, b = 6.7293 Å, c = 8.0084 Å
α = 105.76°, β = 105.76°, γ = 98.91°
Closest atoms and distances in Å follow each position.
Positions (direct):
Tb: 0.0395 0.9605 0.7500  8 O 2.31-2.45
Tb: 0.9605 0.0395 0.2500  8 O 2.31-2.45
Se: 0.1751 0.4337 0.7367  3 O 1.69-1.74
Se: 0.4337 0.1751 0.2367  3 O 1.69-1.74
Se: 0.5663 0.8249 0.7633  3 O 1.69-1.74
Se: 0.8249 0.5663 0.2633  3 O 1.69-1.74
O: 0.0078 0.2007 0.5692  1 Se 1.74
O: 0.0248 0.6137 0.7441  1 Se 1.69
O: 0.1968 0.3422 0.9169  1 Se 1.70
O: 0.2007 0.0078 0.0692  1 Se 1.74
O: 0.3422 0.1968 0.4169  1 Se 1.70
O: 0.3863 0.9752 0.7559  1 Se 1.69
O: 0.6137 0.0248 0.2441  1 Se 1.69
O: 0.6578 0.8032 0.5831  1 Se 1.70
O: 0.7993 0.9922 0.9308  1 Se 1.74
O: 0.8032 0.6578 0.0831  1 Se 1.70
O: 0.9752 0.3863 0.2559  1 Se 1.69
O: 0.9922 0.7993 0.4308  1 Se 1.74



# 2
This record from Alexandria describes an optimized crystal structure of CsPPd2. The functional is PBE.

The value obtained for the energy relative to the elements is -0.33 eV/atom. The density of states at the Fermi level comes out at 3.2 states/eV/cell. The calculation puts the total energy at -4.49 eV per atom. For the theoretical density, the calculation gives 6.18 g cm⁻³.

a = 6.8905 Å, b = 6.8905 Å, c = 6.8905 Å
α = 36.03°, β = 36.03°, γ = 36.03°
Closest atoms and distances in Å follow each position.
Positions (direct):
Cs: 0.0000 0.0000 0.0000  8 Pd 3.68-3.69, 6 P 4.05
P: 0.5000 0.5000 0.5000  6 Pd 2.51
Pd: 0.1913 0.1913 0.1913  3 P 2.51, 3 Pd 2.64
Pd: 0.8087 0.8087 0.8087  3 P 2.51, 3 Pd 2.64



# 3
This record from Alexandria describes an optimized crystal structure of CeSc2BeN4. The functional is PBE.

The value obtained for the uncorrected formation energy is -12.476 eV per formula unit. The calculation puts the total energy at -8.51 eV per atom. For the theoretical density, the calculation gives 5.38 g cm⁻³.

a = 5.5164 Å, b = 5.5164 Å, c = 10.7670 Å
α = 90.00°, β = 90.00°, γ = 146.21°
Closest atoms and distances in Å follow each position.
Positions (direct):
Ce: 0.1031 0.8969 0.7500  6 N 2.42-2.50
Ce: 0.8969 0.1031 0.2500  6 N 2.42-2.50
Sc: 0.3677 0.6323 0.5505  6 N 2.17-2.29
Sc: 0.3677 0.6323 0.9495  6 N 2.17-2.29
Sc: 0.6323 0.3677 0.0505  6 N 2.17-2.29
Sc: 0.6323 0.3677 0.4495  6 N 2.17-2.29
Be: 0.1699 0.8301 0.2500  2 N 1.69
Be: 0.8301 0.1699 0.7500  2 N 1.69
N: 0.0000 0.0000 0.0000  4 Sc 2.20
N: 0.0000 0.0000 0.5000  4 Sc 2.20
N: 0.2676 0.7324 0.1250  1 Be 1.69
N: 0.2676 0.7324 0.3750  1 Be 1.69
N: 0.4309 0.5691 0.7500  2 Be 1.92
N: 0.5691 0.4309 0.2500  2 Be 1.92
N: 0.7324 0.2676 0.6250  1 Be 1.69
N: 0.7324 0.2676 0.8750  1 Be 1.69



# 4
This record from Alexandria describes an optimized crystal structure of TbPr3Dy7. The functional is PBE.

The value obtained for the energy relative to the elements is 0.14 eV/atom. The density of states at the Fermi level comes out at 15.9 states/eV/cell. The value obtained for the distance to the lowest polymorph of the same formula is 0.000 eV/atom. The calculation puts the total energy at -4.51 eV per atom. For the theoretical density, the calculation gives 7.75 g cm⁻³.

a = 6.9940 Å, b = 5.5541 Å, c = 10.0604 Å
α = 90.00°, β = 109.46°, γ = 90.00°
Closest atoms and distances in Å follow each position.
Positions (direct):
Tb: 0.0000 0.0000 0.0000  2 Pr 3.50, 10 Dy 3.51-3.85
Pr: 0.2195 0.5000 0.5034  1 Pr 3.05, 4 Dy 3.37-3.41
Pr: 0.5000 0.0000 0.0000  2 Tb 3.50, 10 Dy 3.55-3.84
Pr: 0.7805 0.5000 0.4966  1 Pr 3.05, 4 Dy 3.37-3.41
Dy: 0.0771 0.0000 0.6708  3 Dy 3.24-3.33, 1 Tb 3.53, 4 Pr 3.56
Dy: 0.1786 0.5000 0.8636  5 Dy 3.29-3.60, 2 Tb 3.51, 2 Pr 3.55
Dy: 0.3521 0.5000 0.2109  3 Dy 3.29-3.60, 2 Pr 3.37-3.39
Dy: 0.5000 0.0000 0.5000  4 Pr 3.41
Dy: 0.6479 0.5000 0.7891  3 Dy 3.29-3.60, 2 Pr 3.37-3.39
Dy: 0.8214 0.5000 0.1364  5 Dy 3.29-3.60, 2 Tb 3.51, 2 Pr 3.55
Dy: 0.9229 0.0000 0.3292  3 Dy 3.24-3.33, 1 Tb 3.53, 4 Pr 3.56



# 5
This record from Alexandria describes an optimized crystal structure of LaHfIrPb2. The functional is PBE.

The value obtained for the energy relative to the elements is 1.98 eV/atom. The density of states at the Fermi level comes out at 6.5 states/eV/cell. The calculation puts the total energy at -4.25 eV per atom. For the theoretical density, the calculation gives 8.76 g cm⁻³.

a = 5.7912 Å, b = 5.7912 Å, c = 5.2234 Å
α = 90.00°, β = 90.00°, γ = 90.00°
Closest atoms and distances in Å follow each position.
Positions (direct):
La: 0.0000 0.0000 0.0000  2 Hf 2.61, 4 Pb 2.90
Hf: 0.0000 0.0000 0.5000  2 La 2.61
Ir: 0.5000 0.5000 0.5000  8 Pb 3.90, 4 Hf 4.10
Pb: 0.0000 0.5000 0.0000  2 La 2.90
Pb: 0.5000 0.0000 0.0000  2 La 2.90



# 6
This record from Alexandria describes an optimized crystal structure of Al2Rh. The functional is PBE.

The value obtained for the energy relative to the elements is -0.65 eV/atom. The density of states at the Fermi level comes out at 2.8 states/eV/cell. The calculation puts the total energy at -5.59 eV per atom. For the theoretical density, the calculation gives 5.56 g cm⁻³.

a = 11.2367 Å, b = 11.2367 Å, c = 11.2367 Å
α = 165.11°, β = 165.11°, γ = 21.11°
Closest atoms and distances in Å follow each position.
Positions (direct):
Al: 0.3041 0.5541 0.7500  4 Rh 2.59, 2 Al 2.80
Al: 0.4459 0.6959 0.7500  4 Rh 2.59, 2 Al 2.80
Al: 0.5541 0.3041 0.2500  4 Rh 2.59, 2 Al 2.80
Al: 0.6959 0.4459 0.2500  4 Rh 2.59, 2 Al 2.80
Rh: 0.1250 0.8750 0.2500  8 Al 2.59
Rh: 0.8750 0.1250 0.7500  8 Al 2.59



# 7
This record from Alexandria describes an optimized crystal structure of Sr3DyTl12. The functional is PBE.

The value obtained for the energy relative to the elements is -0.24 eV/atom. The density of states at the Fermi level comes out at 10.5 states/eV/cell. The calculation puts the total energy at -2.62 eV per atom. For the theoretical density, the calculation gives 9.93 g cm⁻³.

a = 4.9619 Å, b = 4.9619 Å, c = 19.5427 Å
α = 90.00°, β = 90.00°, γ = 90.00°
Closest atoms and distances in Å follow each position.
Positions (direct):
Sr: 0.0000 0.0000 0.0000  12 Tl 3.51-3.52
Sr: 0.0000 0.0000 0.2577  12 Tl 3.49-3.55
Sr: 0.0000 0.0000 0.7423  12 Tl 3.49-3.55
Dy: 0.0000 0.0000 0.5000  12 Tl 3.37-3.51
Tl: 0.0000 0.5000 0.1281  8 Tl 3.46-3.52, 4 Sr 3.52-3.55
Tl: 0.0000 0.5000 0.3831  8 Tl 3.37-3.57, 2 Dy 3.37, 2 Sr 3.49
Tl: 0.0000 0.5000 0.6169  8 Tl 3.37-3.57, 2 Dy 3.37, 2 Sr 3.49
Tl: 0.0000 0.5000 0.8719  8 Tl 3.46-3.52, 4 Sr 3.52-3.55
Tl: 0.5000 0.0000 0.1281  8 Tl 3.46-3.52, 4 Sr 3.52-3.55
Tl: 0.5000 0.0000 0.3831  8 Tl 3.37-3.57, 2 Dy 3.37, 2 Sr 3.49
Tl: 0.5000 0.0000 0.6169  8 Tl 3.37-3.57, 2 Dy 3.37, 2 Sr 3.49
Tl: 0.5000 0.0000 0.8719  8 Tl 3.46-3.52, 4 Sr 3.52-3.55
Tl: 0.5000 0.5000 0.0000  4 Sr 3.51, 8 Tl 3.52
Tl: 0.5000 0.5000 0.2515  8 Tl 3.46-3.57, 4 Sr 3.51
Tl: 0.5000 0.5000 0.5000  8 Tl 3.37, 4 Dy 3.51
Tl: 0.5000 0.5000 0.7485  8 Tl 3.46-3.57, 4 Sr 3.51



Which formula does entry 1 have?
TbSe2O6